VASP calculation (PBE) on ErPaWC3 after structural relaxation.

a = 3.5560 Å, b = 7.3429 Å, c = 7.8103 Å
α = 96.43°, β = 90.00°, γ = 90.00°
Fractional positions:
Pa  0.2500  0.1663  0.1687
C  0.2500  0.6309  0.8601
Er  0.2500  0.6266  0.1647
C  0.7500  0.8949  0.1455
Pa  0.7500  0.8337  0.8313
C  0.7500  0.1790  0.4962
C  0.2500  0.1051  0.8545
W  0.2500  0.1045  0.5992
C  0.7500  0.3691  0.1399
C  0.2500  0.8210  0.5038
W  0.7500  0.8955  0.4008
Er  0.7500  0.3734  0.8353

Results
space group = P2_1/m (11)
density of states at the Fermi level = 3.6 states/eV/f.u.
calculated volume = 16.89 Å³ per atom
electronic total energy = -109.30 eV/cell
energy relative to the elements = 0.006 eV/atom


VASP calculation (PBE) on ReAg2Pt after structural relaxation.

a = 4.7691 Å, b = 4.7691 Å, c = 4.7691 Å
α = 128.22°, β = 128.22°, γ = 76.27°
Last column: magnetic moment on the atom in μB.
Fractional positions:
Pt  0.5000  0.5000  0.0000  0.09
Re  0.7500  0.2500  0.5000  0.82
Ag  0.0000  0.0000  0.0000  0.02
Ag  0.2500  0.7500  0.5000  0.01

Results
space group = I-4m2 (119)
density of states at the Fermi level = 2.7 states/eV/f.u.
calculated volume = 16.27 Å³ per atom
electronic total energy = -21.89 eV/cell
energy relative to the elements = 0.576 eV/atom


VASP calculation (PBE) on Tb2PmDy5Sc after structural relaxation.

a = 5.5678 Å, b = 10.2424 Å, c = 10.3953 Å
α = 90.00°, β = 90.00°, γ = 105.77°
Fractional positions:
Tb  0.8862  0.7724  0.2352
Tb  0.8883  0.7766  0.8144
Dy  0.6240  0.2481  0.5200
Dy  0.2769  0.5537  0.3216
Sc  0.1960  0.3920  0.0145
Sc  0.8040  0.6080  0.5145
Dy  0.2981  0.5962  0.7050
Dy  0.3760  0.7519  0.0200
Dy  0.0185  0.0370  0.0189
Pm  0.4126  0.8252  0.4551
Dy  0.7231  0.4463  0.8216
Tb  0.1138  0.2276  0.7352
Dy  0.7019  0.4038  0.2050
Pm  0.5874  0.1748  0.9551
Dy  0.4813  0.9627  0.7393
Tb  0.1117  0.2234  0.3144
Dy  0.9815  0.9630  0.5189
Dy  0.5187  0.0373  0.2393

Results
space group = Cmc2_1 (36)
density of states at the Fermi level = 13.9 states/eV/f.u.
calculated volume = 31.69 Å³ per atom
electronic total energy = -83.71 eV/cell
energy relative to the elements = 0.167 eV/atom


VASP calculation (PBE) on YThTe2Se after structural relaxation.

a = 4.4531 Å, b = 4.4531 Å, c = 14.9466 Å
α = 90.00°, β = 90.00°, γ = 90.00°
Fractional positions:
Te  0.0000  0.5000  0.7063
Y  0.5000  0.0000  0.0852
Te  0.0000  0.5000  0.1220
Te  0.5000  0.0000  0.8780
Te  0.5000  0.0000  0.2937
Y  0.0000  0.5000  0.9148
Th  0.5000  0.0000  0.6283
Th  0.0000  0.5000  0.3717
Se  0.0000  0.0000  0.5000
Se  0.5000  0.5000  0.5000

Results
space group = P4/nmm (129)
density of states at the Fermi level = 1.7 states/eV/f.u.
calculated volume = 29.64 Å³ per atom
electronic total energy = -61.09 eV/cell
formation energy (no corrections) = -1.379 eV/atom


VASP calculation (PBE) on TcIr2Au after structural relaxation.

a = 9.3487 Å, b = 9.3487 Å, c = 9.3487 Å
α = 17.08°, β = 17.08°, γ = 17.08°
Last column: magnetic moment on the atom in μB.
Fractional positions:
Ir  0.2477  0.2477  0.2477  0.01
Tc  0.5054  0.5054  0.5054  -0.01
Ir  0.9961  0.9961  0.9961  0.19
Au  0.7508  0.7508  0.7508  0.00

Results
space group = R3m (160)
density of states at the Fermi level = 3.8 states/eV/f.u.
calculated volume = 15.37 Å³ per atom
electronic total energy = -30.77 eV/cell
energy relative to the elements = 0.148 eV/atom


VASP calculation (PBE) on SiGeAuS after structural relaxation.

a = 4.4225 Å, b = 3.3677 Å, c = 11.1329 Å
α = 90.00°, β = 110.84°, γ = 90.00°
Fractional positions:
Au  0.8518  0.5000  0.4214
Si  0.7299  0.5000  0.1912
S  0.0418  0.0000  0.1646
Au  0.8518  0.0000  0.9214
Ge  0.3714  0.5000  0.9508
S  0.0418  0.5000  0.6646
Ge  0.3714  0.0000  0.4508
Si  0.7299  0.0000  0.6912

Results
space group = Cm (8)
density of states at the Fermi level = 1.5 states/eV/f.u.
calculated volume = 19.37 Å³ per atom
electronic total energy = -35.35 eV/cell
formation energy (no corrections) = -0.057 eV/atom


Q: Number 6 is which compound?
A: SiGeAuS